[1]
MgScAlFe: optimized geometry, PBE.

```
MgScAlFe
1.0
0.000 3.206 3.206
3.206 0.000 3.206
3.206 3.206 0.000
Mg Sc Al Fe
1 1 1 1
direct
0.000 0.000 0.000
0.500 0.500 0.500
0.750 0.750 0.750
0.250 0.250 0.250
```

Output
- SG = No. 216
- raw total energy (eV for the cell shown) = -19.919



[2]
RbGeW: optimized geometry, PBE.

```
RbGeW
1.0
0.000 3.629 3.629
3.629 0.000 3.629
3.629 3.629 0.000
Rb Ge W
1 1 1
direct
0.000 0.000 0.000
0.750 0.750 0.750
0.250 0.250 0.250
```

Output
- SG = No. 216
- raw total energy (eV for the cell shown) = -10.725



[3]
MgZnAgP2: optimized geometry, PBE.

```
MgZnAgP2
1.0
4.143 0.000 0.000
-2.072 3.588 0.000
0.000 0.000 6.254
Mg Zn Ag P
1 1 1 2
direct
0.000 0.000 0.000
0.333 0.667 0.298
0.667 0.333 0.663
0.000 0.000 0.416
0.333 0.667 0.892
```

Output
- SG = No. 156
- raw total energy (eV for the cell shown) = -16.873



[4]
Gd3Mg3TlCdIn: optimized geometry, PBE.

```
Gd3Mg3TlCdIn
1.0
7.585 0.000 0.000
-3.792 6.569 0.000
0.000 0.000 4.653
Gd Mg Tl Cd In
3 3 1 1 1
direct
0.001 0.425 0.000
0.425 0.999 0.000
0.575 0.575 0.000
0.001 0.761 0.500
0.239 0.240 0.500
0.760 0.999 0.500
0.667 0.333 0.500
0.000 0.000 0.000
0.333 0.667 0.500
```

Output
- SG = No. 174
- raw total energy (eV for the cell shown) = -27.840



[5]
GaFeIr2: optimized geometry, PBE.

```
GaFeIr2
1.0
4.204 0.000 0.000
-2.102 3.641 0.000
0.000 0.000 7.951
Ga Fe Ir
2 2 4
direct
0.000 0.000 0.000
0.000 0.000 0.500
0.333 0.667 0.250
0.667 0.333 0.750
0.333 0.667 0.591
0.333 0.667 0.909
0.667 0.333 0.091
0.667 0.333 0.409
```

Output
- SG = No. 194
- raw total energy (eV for the cell shown) = -58.305



[6]
NpGaBi: optimized geometry, PBE.

```
NpGaBi
1.0
0.000 3.474 3.474
3.474 0.000 3.474
3.474 3.474 0.000
Np Ga Bi
1 1 1
direct
0.000 0.000 0.000
0.750 0.750 0.750
0.500 0.500 0.500
```

Output
- SG = No. 216
- raw total energy (eV for the cell shown) = -19.221



[7]
CuSn2Bi: optimized geometry, PBE.

```
CuSn2Bi
1.0
0.000 3.681 3.681
3.681 0.000 3.681
3.681 3.681 0.000
Cu Sn Bi
1 2 1
direct
0.000 0.000 0.000
0.250 0.250 0.250
0.500 0.500 0.500
0.750 0.750 0.750
```

Output
- SG = No. 216
- raw total energy (eV for the cell shown) = -14.613



[8]
Gd2ErSn3PdPt2: optimized geometry, PBE.

```
Gd2ErSn3PdPt2
1.0
4.030 0.000 0.000
0.000 6.517 3.783
0.000 -6.517 3.783
Gd Er Sn Pd Pt
2 1 3 1 2
direct
0.000 0.204 0.796
0.000 0.796 0.204
0.000 0.612 0.612
0.500 0.206 0.462
0.500 0.462 0.206
0.500 0.946 0.946
0.000 0.207 0.207
0.500 0.539 0.868
0.500 0.868 0.539
```

Output
- SG = No. 38
- raw total energy (eV for the cell shown) = -52.596



[9]
NaFeAuSeS2: optimized geometry, PBE.

```
NaFeAuSeS2
1.0
1.652 -7.467 0.000
1.652 7.467 0.000
0.000 0.000 9.828
Na Fe Au Se S
2 2 2 2 4
direct
0.210 0.790 0.750
0.790 0.210 0.250
0.500 0.500 0.000
0.500 0.500 0.500
0.126 0.874 0.250
0.874 0.126 0.750
0.451 0.549 0.250
0.549 0.451 0.750
0.107 0.893 0.014
0.107 0.893 0.486
0.893 0.107 0.514
0.893 0.107 0.986
```

Output
- SG = No. 63
- raw total energy (eV for the cell shown) = -52.843



[10]
PmHf2N3: optimized geometry, PBE.

```
PmHf2N3
1.0
3.275 0.000 0.000
-1.637 2.836 0.000
0.000 0.000 8.333
Pm Hf N
1 2 3
direct
0.000 0.000 0.000
0.333 0.667 0.339
0.667 0.333 0.661
0.000 0.000 0.500
0.333 0.667 0.795
0.667 0.333 0.205
```

Output
- SG = No. 164
- raw total energy (eV for the cell shown) = -59.811



[11]
BaCdNO: optimized geometry, PBE.

```
BaCdNO
1.0
6.509 0.000 0.000
0.000 8.757 0.000
0.000 0.000 5.707
Ba Cd N O
4 4 4 4
direct
0.041 0.158 0.000
0.459 0.158 0.500
0.541 0.842 0.000
0.959 0.842 0.500
0.065 0.614 0.990
0.435 0.614 0.490
0.565 0.386 0.990
0.935 0.386 0.490
0.037 0.147 0.519
0.463 0.147 0.019
0.537 0.853 0.519
0.963 0.853 0.019
0.110 0.583 0.603
0.390 0.583 0.103
0.610 0.417 0.603
0.890 0.417 0.103
```

Output
- SG = No. 29
- raw total energy (eV for the cell shown) = -72.115



[12]
ScNbOs2: optimized geometry, PBE.

```
ScNbOs2
1.0
0.000 3.190 3.190
3.190 0.000 3.190
3.190 3.190 0.000
Sc Nb Os
1 1 2
direct
0.000 0.000 0.000
0.500 0.500 0.500
0.250 0.250 0.250
0.750 0.750 0.750
```

Output
- SG = No. 225
- energy of formation (meV per atom) = -434